Record 1
Here is an optimized crystal structure of PaMnZnO6 from the Alexandria database. Energies are from PBE+U.

Summary:
The final energy comes out at -7.277 eV per atom. The value obtained for the spin magnetization is 2.0 μB per formula unit.

Cell: 5.3737 5.3737 8.6878 Å, 90.00 90.00 120.00°
Space group P-31c (No. 163)
Asymmetric unit:
Pa: 0.3333 0.6667 0.2500 x2
Mn: 0.3333 0.6667 0.7500 x2
Zn: 0.0000 0.0000 0.0000 x2
O: 0.0336 0.3618 0.6293 x12

***

Record 2
Here is an optimized crystal structure of ZrCrP2O from the Alexandria database. Energies are from PBE+U.

Summary:
The final energy comes out at -6.727 eV per atom. The value obtained for the spin magnetization is 2.0 μB per formula unit.

Cell: 4.734 4.734 3.599 Å, 90.00 90.00 90.00°
Space group P4/mmm (No. 123)
Asymmetric unit:
Zr: 0.000 0.000 0.000 x1
Cr: 0.500 0.500 0.500 x1
P: 0.000 0.500 0.500 x2
O: 0.500 0.500 0.000 x1